Entry 1:
Al2CoPb after structural relaxation, computed with GGA-PBE.

a = 4.2565 Å, b = 3.5638 Å, c = 5.2065 Å
α = 70.37°, β = 90.00°, γ = 90.00°
Each line ends with the local moment (μB).
Element x y z (fractional)
Co (0.5000, 0.2500, 0.2500)  0.54
Al (0.0000, 0.1238, 0.0389)  0.00
Pb (0.5000, 0.7500, 0.7500)  0.00
Al (0.0000, 0.3762, 0.4611)  0.00

Calculated values
D(E_F) = 0.720 states/eV per atom
Energy of formation = 0.9 eV per formula unit
Magnetic moment = 0.5 μB/cell

---

Entry 2:
Tl2SnSbAu4 after structural relaxation, computed with GGA-PBE.

a = 6.8175 Å, b = 8.2920 Å, c = 7.2660 Å
α = 90.00°, β = 90.00°, γ = 90.00°
Element x y z (fractional)
Au (0.7438, 0.9556, 0.0000)
Tl (0.5424, 0.2141, 0.7505)
Au (0.3757, 0.5400, 0.3072)
Au (0.8757, 0.4600, 0.1928)
Sb (0.5615, 0.6490, 0.0000)
Tl (0.0424, 0.7859, 0.2505)
Au (0.3298, 0.9631, 0.0000)
Au (0.3757, 0.5400, 0.6928)
Au (0.2438, 0.0444, 0.5000)
Tl (0.0424, 0.7859, 0.7495)
Au (0.8298, 0.0369, 0.5000)
Au (0.8757, 0.4600, 0.8072)
Tl (0.5424, 0.2141, 0.2495)
Sb (0.0615, 0.3510, 0.5000)
Sn (0.5287, 0.8139, 0.5000)
Sn (0.0287, 0.1861, 0.0000)

Calculated values
D(E_F) = 0.431 states/eV per atom
Magnetic moment = 0.0 μB/cell
Energy relative to the elements, uncorrected = -19.9 meV/atom

---

Entry 3:
Rb2Hg4Pd after structural relaxation, computed with GGA-PBE.

a = 6.8537 Å, b = 6.8537 Å, c = 7.4334 Å
α = 117.44°, β = 117.43°, γ = 90.04°
Element x y z (fractional)
Hg (0.7204, 0.7204, 0.0000)
Rb (0.2500, 0.7500, 0.5000)
Hg (0.7206, 0.2795, 0.0001)
Rb (0.7500, 0.2500, 0.5000)
Pd (0.0000, 0.9999, 0.9999)
Hg (0.2794, 0.7205, 0.9999)
Hg (0.2796, 0.2796, 0.0000)

Calculated values
D(E_F) = 0.357 states/eV per atom
Energy of formation = -1.0 eV per formula unit
Magnetic moment = 0.0 μB/cell

---

Entry 4:
Pu2CoRu after structural relaxation, computed with GGA-PBE.

a = 3.3083 Å, b = 3.3083 Å, c = 6.8173 Å
α = 90.00°, β = 90.00°, γ = 90.00°
Each line ends with the local moment (μB).
Element x y z (fractional)
Pu (0.0000, 0.0000, 0.7579)  5.08
Co (0.5000, 0.5000, 0.0000)  -1.02
Ru (0.5000, 0.5000, 0.5000)  -0.62
Pu (0.0000, 0.0000, 0.2421)  5.08

Calculated values
D(E_F) = 3.036 states/eV per atom
Energy of formation = -0.2 eV per formula unit
Magnetic moment = 9.0 μB/cell

---

Entry 5:
SrO after structural relaxation, computed with GGA-PBE.

a = 3.1417 Å, b = 3.1417 Å, c = 3.1417 Å
α = 90.00°, β = 90.00°, γ = 90.00°
Element x y z (fractional)
O (0.5000, 0.5000, 0.5000)
Sr (0.0000, 0.0000, 0.0000)

Calculated values
D(E_F) = 0.000 states/eV per atom
Magnetic moment = 0.0 μB/cell
Energy relative to the elements, uncorrected = -2316.7 meV/atom

---

Entry 6:
Tb6Pm12Pr after structural relaxation, computed with GGA-PBE.

a = 8.8456 Å, b = 8.8456 Å, c = 8.8456 Å
α = 98.96°, β = 98.96°, γ = 98.96°
Element x y z (fractional)
Tb (0.3400, 0.9021, 0.9021)
Pm (0.5000, 0.7591, 0.2409)
Pm (0.6450, 0.6450, 0.9169)
Tb (0.9021, 0.3400, 0.9021)
Pm (0.7591, 0.5000, 0.2409)
Pm (0.9169, 0.6450, 0.6450)
Tb (0.9021, 0.9021, 0.3400)
Pr (0.0000, 0.0000, 0.0000)
Pm (0.3550, 0.0831, 0.3550)
Pm (0.6450, 0.9169, 0.6450)
Pm (0.7591, 0.2409, 0.5000)
Pm (0.3550, 0.3550, 0.0831)
Pm (0.5000, 0.2409, 0.7591)
Tb (0.0979, 0.6600, 0.0979)
Pm (0.2409, 0.7591, 0.5000)
Tb (0.0979, 0.0979, 0.6600)
Pm (0.0831, 0.3550, 0.3550)
Tb (0.6600, 0.0979, 0.0979)
Pm (0.2409, 0.5000, 0.7591)

Calculated values
D(E_F) = 1.955 states/eV per atom
Energy of formation = 3.7 eV per formula unit
Magnetic moment = 0.0 μB/cell

---

Entry 7:
HfSb2OsO after structural relaxation, computed with GGA-PBE.

a = 5.6142 Å, b = 3.8303 Å, c = 5.6142 Å
α = 90.00°, β = 90.00°, γ = 90.00°
Each line ends with the local moment (μB).
Element x y z (fractional)
Sb (0.5000, 0.0000, 0.0000)  -0.04
Os (0.5000, 0.5000, 0.5000)  2.00
Sb (0.0000, 0.0000, 0.5000)  -0.02
Hf (0.0000, 0.0000, 0.0000)  0.02
O (0.0000, 0.5000, 0.0000)  0.00

Calculated values
D(E_F) = 0.671 states/eV per atom
Magnetic moment = 2.1 μB/cell
Energy relative to the elements, uncorrected = 236.0 meV/atom

---

Entry 8:
Pm3PrNd4S8 after structural relaxation, computed with GGA-PBE.

a = 8.1236 Å, b = 8.1238 Å, c = 8.1232 Å
α = 119.99°, β = 120.00°, γ = 90.00°
Element x y z (fractional)
S (0.2512, 0.2535, 0.5023)
S (0.7489, 0.2512, 0.0024)
Pm (0.0000, 0.5000, 0.5000)
Nd (0.5000, 0.0000, 0.5000)
S (0.2511, 0.7488, 0.9976)
Nd (0.0000, 0.0000, 0.0000)
Pm (0.5000, 0.5000, 0.5000)
S (0.7465, 0.7488, 0.9976)
Pr (0.0000, 0.5000, 0.0000)
Pm (0.5000, 0.5000, 0.0000)
S (0.7488, 0.7465, 0.4977)
Nd (0.0000, 0.0000, 0.5000)
Nd (0.5000, 0.0000, 0.0000)
S (0.2511, 0.7488, 0.5023)
S (0.7489, 0.2512, 0.4977)
S (0.2535, 0.2512, 0.0024)

Calculated values
D(E_F) = 0.581 states/eV per atom
Magnetic moment = 0.0 μB/cell
Energy relative to the elements, uncorrected = -2023.2 meV/atom

---

Number 1: final energy -17.4 eV for the cell shown. Number 2: final energy -52.3 eV for the cell shown. Number 3: final energy -9.3 eV for the cell shown. Number 4: final energy -45.2 eV for the cell shown. Number 5: final energy -11.3 eV for the cell shown. Number 6: final energy -85.9 eV for the cell shown. Number 7: final energy -33.2 eV for the cell shown. Number 8: final energy -103.5 eV for the cell shown.